{
  "formula": "Cs2CoF6",
  "functional": "GGA+U",
  "state": "optimized geometry",
  "lattice_angstrom": [[-0.1260, 0.9470, -6.3049], [-5.3247, -1.1974, -3.2982], [-3.3949, 4.8186, -2.4332]],
  "species": ["Cs", "Cs", "F", "F", "F", "F", "F", "F", "Co"],
  "frac_coords": [[0.2500, 0.2500, 0.2500], [0.7500, 0.7500, 0.7500], [0.2015, 0.2015, 0.7985], [0.7985, 0.7985, 0.2015], [0.2015, 0.7985, 0.2015], [0.7985, 0.2015, 0.7985], [0.7985, 0.2015, 0.2015], [0.2015, 0.7985, 0.7985], [0.0000, 0.0000, 0.0000]],
  "dos_at_fermi_per_ev_cell": 11.33,
  "final_energy_ev_per_atom": -4.240
}